1.
Pr7Sm12Cd | PBE | relaxed

- Total magnetic moment: 0.000 μB/f.u.
- Total energy: -4.392 eV/atom
- Crystal system: trigonal
- ΔH_f (0 K): 0.16 eV per atom

Geometry as CIF:
```
data_Pr7Sm12Cd
_symmetry_space_group_name_H-M 'R -3'
_symmetry_Int_Tables_number 148
_symmetry_space_group_name_Hall '-R 3'
_cell_length_a 12.2582
_cell_length_b 12.2582
_cell_length_c 15.9816
_cell_angle_alpha 90.00
_cell_angle_beta 90.00
_cell_angle_gamma 120.00
loop_
_atom_site_label
_atom_site_fract_x
_atom_site_fract_y
_atom_site_fract_z
Pr1 0.0000 0.0000 0.0000
Pr2 0.0588 0.8728 0.2935
Sm1 0.0387 0.5818 0.2147
Sm2 0.0559 0.4728 0.5844
Cd1 0.0000 0.0000 0.5000
```


2.
Sr2AcF | PBE | relaxed

- Formation energy from raw total energies: -1064 meV per atom
- Total magnetic moment: 0.720 μB/f.u.
- Total energy: -3.400 eV/atom
- Crystal system: trigonal

Geometry as CIF:
```
data_Sr2AcF
_symmetry_space_group_name_H-M 'R -3 m'
_symmetry_Int_Tables_number 166
_symmetry_space_group_name_Hall '-R 3 2"'
_cell_length_a 3.9321
_cell_length_b 3.9321
_cell_length_c 32.6436
_cell_angle_alpha 90.00
_cell_angle_beta 90.00
_cell_angle_gamma 120.00
loop_
_atom_site_label
_atom_site_fract_x
_atom_site_fract_y
_atom_site_fract_z
Sr1 0.0000 0.0000 0.1169
Ac1 0.0000 0.0000 0.0000
F1 0.0000 0.0000 0.5000
```


3.
SrZrBr6 | PBE | relaxed

- Formation energy from raw total energies: -1625 meV per atom
- Total magnetic moment: 0.000 μB/f.u.
- Total energy: -4.159 eV/atom
- Crystal system: monoclinic

Geometry as CIF:
```
data_SrZrBr6
_symmetry_space_group_name_H-M 'C 1 2/m 1'
_symmetry_Int_Tables_number 12
_cell_length_a 7.1961
_cell_length_b 12.8238
_cell_length_c 7.0785
_cell_angle_alpha 90.00
_cell_angle_beta 106.42
_cell_angle_gamma 90.00
loop_
_symmetry_equiv_pos_as_xyz
'x,y,z'
'-x,-y,-z'
'-x,y,-z'
'x,-y,z'
'x+1/2,y+1/2,z'
'-x+1/2,-y+1/2,-z'
'-x+1/2,y+1/2,-z'
'x+1/2,-y+1/2,z'
loop_
_atom_site_label
_atom_site_fract_x
_atom_site_fract_y
_atom_site_fract_z
Sr1 0.0000 0.0000 0.0000
Zr1 0.0000 0.5000 0.5000
Br1 0.2108 0.3520 0.7266
Br2 0.2411 0.5000 0.2802
```


4.
HfFeBRu2 | PBE | relaxed

- Total magnetic moment: 0.850 μB/f.u.
- Total energy: -9.150 eV/atom
- Crystal system: tetragonal
- ΔH_f (0 K): -0.42 eV per atom

Geometry as CIF:
```
data_HfFeBRu2
_symmetry_space_group_name_H-M 'P 4/m m m'
_symmetry_Int_Tables_number 123
_symmetry_space_group_name_Hall '-P 4 2'
_cell_length_a 4.1232
_cell_length_b 4.1232
_cell_length_c 3.9029
_cell_angle_alpha 90.00
_cell_angle_beta 90.00
_cell_angle_gamma 90.00
loop_
_atom_site_label
_atom_site_fract_x
_atom_site_fract_y
_atom_site_fract_z
Hf1 0.0000 0.0000 0.0000
Fe1 0.5000 0.5000 0.0000
B1 0.5000 0.5000 0.5000
Ru1 0.0000 0.5000 0.5000
```


5.
KLi2Cu | PBE | relaxed

- Total magnetic moment: 0.000 μB/f.u.
- Total energy: -2.041 eV/atom
- Crystal system: orthorhombic
- ΔH_f (0 K): 0.21 eV per atom
- Energy relative to the lowest polymorph listed for this composition: 0.19 eV per formula unit

Geometry as CIF:
```
data_KLi2Cu
_symmetry_space_group_name_H-M 'I m m 2'
_symmetry_Int_Tables_number 44
_cell_length_a 3.2386
_cell_length_b 4.2352
_cell_length_c 15.8192
_cell_angle_alpha 90.00
_cell_angle_beta 90.00
_cell_angle_gamma 90.00
loop_
_symmetry_equiv_pos_as_xyz
'x,y,z'
'-x,-y,z'
'-x,y,z'
'x,-y,z'
'x+1/2,y+1/2,z+1/2'
'-x+1/2,-y+1/2,z+1/2'
'-x+1/2,y+1/2,z+1/2'
'x+1/2,-y+1/2,z+1/2'
loop_
_atom_site_label
_atom_site_fract_x
_atom_site_fract_y
_atom_site_fract_z
K1 0.0000 0.0000 0.0000
Li1 0.0000 0.0000 0.6829
Li2 0.0000 0.5000 0.8069
Cu1 0.0000 0.5000 0.3110
```


6.
TcBi2O5 | PBE | relaxed

- Formation energy from raw total energies: -1113 meV per atom
- Total magnetic moment: 0.000 μB/f.u.
- Total energy: -6.478 eV/atom
- Crystal system: orthorhombic
- Energy relative to the lowest polymorph listed for this composition: 0.65 eV per formula unit

Geometry as CIF:
```
data_TcBi2O5
_symmetry_space_group_name_H-M 'I m m 2'
_symmetry_Int_Tables_number 44
_cell_length_a 6.4609
_cell_length_b 6.4769
_cell_length_c 6.8026
_cell_angle_alpha 90.00
_cell_angle_beta 90.00
_cell_angle_gamma 90.00
loop_
_symmetry_equiv_pos_as_xyz
'x,y,z'
'-x,-y,z'
'-x,y,z'
'x,-y,z'
'x+1/2,y+1/2,z+1/2'
'-x+1/2,-y+1/2,z+1/2'
'-x+1/2,y+1/2,z+1/2'
'x+1/2,-y+1/2,z+1/2'
loop_
_atom_site_label
_atom_site_fract_x
_atom_site_fract_y
_atom_site_fract_z
Tc1 0.0000 0.0000 0.0000
Bi1 0.0000 0.5000 0.1468
Bi2 0.0000 0.5000 0.6527
O1 0.0000 0.0000 0.7479
O2 0.2004 0.1995 0.0908
```


7.
Tb3CuC | PBE | relaxed

- Total magnetic moment: 0.000 μB/f.u.
- Total energy: -5.613 eV/atom
- Crystal system: monoclinic
- ΔH_f (0 K): -0.17 eV per atom
- Energy relative to the lowest polymorph listed for this composition: 0.00 eV per formula unit

Geometry as CIF:
```
data_Tb3CuC
_symmetry_space_group_name_H-M 'C 1 2/m 1'
_symmetry_Int_Tables_number 12
_cell_length_a 11.3847
_cell_length_b 5.0271
_cell_length_c 7.9576
_cell_angle_alpha 90.00
_cell_angle_beta 103.58
_cell_angle_gamma 90.00
loop_
_symmetry_equiv_pos_as_xyz
'x,y,z'
'-x,-y,-z'
'-x,y,-z'
'x,-y,z'
'x+1/2,y+1/2,z'
'-x+1/2,-y+1/2,-z'
'-x+1/2,y+1/2,-z'
'x+1/2,-y+1/2,z'
loop_
_atom_site_label
_atom_site_fract_x
_atom_site_fract_y
_atom_site_fract_z
Tb1 0.0809 0.0000 0.2007
Tb2 0.1436 0.5000 0.9194
Tb3 0.1736 0.0000 0.6324
Cu1 0.0778 0.5000 0.4188
C1 0.1369 0.0000 0.9161
```